The following is a GGA-PBE calculation of crystalline HoZrBeGa at its relaxed geometry, from the Alexandria database.

```
4
Lattice="4.7565 0.0000 0.0000 2.3782 4.1192 0.0000 2.3782 1.3731 3.8836" Properties=species:S:1:pos:R:3 pbc="T T T"
Be 7.1347 4.1192 2.9127
Ga 2.3782 1.3731 0.9709
Ho 4.7565 2.7462 1.9418
Zr 0.0000 0.0000 0.0000
```

Calculated values
space group	F-43m
formation energy from the elements	-0.22	eV/atom

=====

The following is a GGA-PBE calculation of crystalline MnNi2Te at its relaxed geometry, from the Alexandria database.

```
4
Lattice="-1.1845 1.8752 -2.4729 -3.0107 -1.1948 0.5361 -3.9698 2.8016 4.0260" Properties=species:S:1:pos:R:3 pbc="T T T"
Mn -5.8276 2.1428 2.1851
Ni -3.9540 2.7310 3.9648
Ni -3.5061 0.8741 2.3422
Te -2.3374 1.3393 -0.0959
```

Calculated values
space group	Pmmm
formation energy without anion corrections	0.08	eV per atom

=====

The following is a GGA-PBE calculation of crystalline ZrCoSb2 at its relaxed geometry, from the Alexandria database.

```
4
Lattice="4.6941 -0.0079 -0.0081 0.0090 4.6941 -0.0081 0.0040 0.0039 3.5895" Properties=species:S:1:pos:R:3 pbc="T T T"
Co 0.0065 2.3490 1.7907
Sb 0.0000 0.0000 0.0000
Sb 2.3515 2.3431 -0.0081
Zr 2.3490 -0.0020 1.7907
```

Calculated values
space group	P4/mmm
formation energy without anion corrections	-0.10	eV per atom

=====

The following is a GGA-PBE calculation of crystalline YTlFeCo at its relaxed geometry, from the Alexandria database.

```
4
Lattice="-1.9325 -1.8807 -1.7072 0.4709 -2.3733 2.0813 -5.7404 2.3191 3.9432" Properties=species:S:1:pos:R:3 pbc="T T T"
Y -2.1027 -1.5727 1.1295
Tl -3.3452 1.3514 2.2979
Co -5.5135 -0.1948 3.4725
Fe -5.5890 2.2579 3.8392
```

Calculated values
energy relative to the lowest polymorph listed for this composition	107	meV per atom
space group	P4mm
formation energy from the elements	0.12	eV/atom

=====

The following is a GGA-PBE calculation of crystalline Sm2Er2Se3S2 at its relaxed geometry, from the Alexandria database.

```
9
Lattice="5.5781 0.0000 0.0000 0.0000 5.5781 0.0000 -2.7890 -2.7890 7.1636" Properties=species:S:1:pos:R:3 pbc="T T T"
Sm 0.0000 0.0000 3.0261
Sm 2.7890 2.7890 4.1375
Er 2.7890 0.0000 0.0000
Er 0.0000 2.7890 0.0000
Se 0.0000 0.0000 0.0000
Se 0.0000 2.7890 3.5818
Se 2.7890 0.0000 3.5818
S 2.7890 2.7890 1.3995
S 0.0000 0.0000 5.7640
```

Calculated values
space group	I4/mmm
formation energy without anion corrections	-1.52	eV per atom

=====

The following is a GGA-PBE calculation of crystalline Tb6Dy2Tm at its relaxed geometry, from the Alexandria database.

```
18
Lattice="6.5433 -0.0952 -0.0921 1.7158 9.3369 -0.8399 1.7158 -0.5369 9.3592" Properties=species:S:1:pos:R:3 pbc="T T T"
Tb 4.8903 5.8604 2.0215
Tb 8.3561 6.4469 2.5893
Tb 5.0845 2.8444 6.4057
Tb 1.6187 2.2579 5.8379
Tb 5.6427 0.2438 4.2009
Tb 7.6037 4.4507 8.2735
Tb 4.3321 8.4610 4.2263
Tb 2.3711 4.2542 0.1536
Tb 5.0431 6.7205 8.2677
Tb 1.6601 0.2713 2.0242
Tb 4.9318 1.9844 0.1595
Tb 8.3147 8.4335 6.4030
Dy 3.0688 5.4128 5.7008
Dy 3.6344 2.8792 3.2480
Dy 6.9060 3.2920 2.7264
Dy 6.3404 5.8256 5.1792
Tm 3.3516 0.6157 8.1210
Tm 6.6232 8.0891 0.3062
```

Calculated values
energy relative to the lowest polymorph listed for this composition	96	meV per atom
space group	C2/c
formation energy from the elements	0.11	eV/atom

=====

The following is a GGA-PBE calculation of crystalline YHg2Br at its relaxed geometry, from the Alexandria database.

```
4
Lattice="-2.8569 -1.5814 1.4783 3.0519 -2.5950 3.1221 2.9675 1.4178 7.2517" Properties=species:S:1:pos:R:3 pbc="T T T"
Y 1.5813 -1.3793 5.9260
Hg 0.0000 0.0000 0.0000
Hg 0.0975 -2.0882 2.3002
Br 1.4838 0.7089 3.6258
```

Calculated values
energy relative to the lowest polymorph listed for this composition	87	meV per atom
space group	P2/m
formation energy without anion corrections	-0.50	eV per atom

=====

The following is a GGA-PBE calculation of crystalline PrSnBi2O6 at its relaxed geometry, from the Alexandria database.

```
10
Lattice="-3.8672 -1.0069 -4.7392 -4.1968 -4.5506 0.3333 -5.9265 1.2794 0.5091" Properties=species:S:1:pos:R:3 pbc="T T T"
Pr -10.0246 -3.6612 -3.2079
Sn -2.9438 -1.6049 -1.3124
Bi -6.7482 -2.3782 -2.0988
Bi -5.6827 1.0444 0.3604
O -4.6484 -1.2008 -2.8441
O -6.0559 -4.1616 -0.4606
O -7.6990 -3.5528 -4.1176
O -8.9712 -2.4774 -1.4677
O -7.6529 -0.3351 -2.7001
O -6.8870 -1.1631 -0.1367
```

Calculated values
space group	R3
formation energy without anion corrections	-1.68	eV per atom

=====

The following is a GGA-PBE calculation of crystalline Zr2Zn2Sn at its relaxed geometry, from the Alexandria database.

```
5
Lattice="-4.2396 0.5316 -1.1628 0.1356 -3.8178 -2.2395 -3.6576 -4.3958 2.8944" Properties=species:S:1:pos:R:3 pbc="T T T"
Zn -2.3842 -2.2126 -0.7505
Zn -5.3775 -5.4695 0.2425
Sn 0.0000 0.0000 0.0000
Zr -4.9746 -2.7537 0.0152
Zr -2.7870 -4.9284 -0.5231
```

Calculated values
space group	I4/mmm
formation energy from the elements	0.11	eV/atom

=====

The following is a GGA-PBE calculation of crystalline HgPbAu3 at its relaxed geometry, from the Alexandria database.

```
5
Lattice="5.3983 0.0000 0.0000 0.0000 5.3983 0.0000 0.0000 0.0000 5.3983" Properties=species:S:1:pos:R:3 pbc="T T T"
Pb 0.0000 0.0000 0.0000
Au 0.0000 2.6991 0.0000
Au 0.0000 0.0000 2.6991
Au 2.6991 0.0000 0.0000
Hg 2.6991 2.6991 2.6991
```

Calculated values
energy relative to the lowest polymorph listed for this composition	532	meV per atom
space group	Pm-3m
formation energy from the elements	0.54	eV/atom

=====

The following is a GGA-PBE calculation of crystalline Li3SnBr at its relaxed geometry, from the Alexandria database.

```
5
Lattice="-4.3326 2.1967 0.1329 -2.1638 -4.3056 0.6276 0.4014 0.5004 4.8169" Properties=species:S:1:pos:R:3 pbc="T T T"
Sn -3.0475 -0.8043 2.7887
Br 0.0000 0.0000 0.0000
Li -1.0819 -2.1528 0.3138
Li 0.2007 0.2502 2.4085
Li -2.1663 1.0983 0.0664
```

Calculated values
energy relative to the lowest polymorph listed for this composition	0	meV per atom
space group	Pm-3m
formation energy without anion corrections	-0.50	eV per atom

=====

The following is a GGA-PBE calculation of crystalline HfGe2 at its relaxed geometry, from the Alexandria database.

```
6
Lattice="-0.5620 2.5964 -7.2632 -0.3475 -5.7070 5.2077 -3.6695 0.7161 0.5399" Properties=species:S:1:pos:R:3 pbc="T T T"
Hf -1.2872 -4.6609 4.0405
Hf -3.2917 2.2665 -5.5560
Ge -1.3590 -1.8850 -0.1287
Ge -3.2200 -0.5095 -1.3868
Ge -3.1532 -3.0960 2.4979
Ge -1.4258 0.7016 -4.0135
```

Calculated values
space group	Cmcm
formation energy from the elements	-0.49	eV/atom

=====

Repeat the fourth record exactly.
The following is a GGA-PBE calculation of crystalline YTlFeCo at its relaxed geometry, from the Alexandria database.

```
4
Lattice="-1.9325 -1.8807 -1.7072 0.4709 -2.3733 2.0813 -5.7404 2.3191 3.9432" Properties=species:S:1:pos:R:3 pbc="T T T"
Y -2.1027 -1.5727 1.1295
Tl -3.3452 1.3514 2.2979
Co -5.5135 -0.1948 3.4725
Fe -5.5890 2.2579 3.8392
```

Calculated values
energy relative to the lowest polymorph listed for this composition	107	meV per atom
space group	P4mm
formation energy from the elements	0.12	eV/atom